A relaxed Mg2U crystal, computed with PBE-GGA.

The value obtained for the calculated total energy is -4.5343 eV/atom. The calculation puts the density at 6.876 Mg/m³. The symmetry is Pm.

a b c (Å): 13.188 9.300 4.918
angles (deg): 90.00 90.00 66.64
Sites, in units of the cell vectors:
Mg 0.218 0.124 0.000
U 0.885 0.857 0.000
Mg 0.718 0.462 0.500
Mg 0.990 0.408 0.000
Mg 0.898 0.612 0.500
U 0.373 0.321 0.000
U 0.310 0.505 0.500
Mg 0.729 0.640 0.000
Mg 0.476 0.899 0.000
U 0.379 0.148 0.500
Mg 0.543 0.504 0.000
Mg 0.296 0.750 0.000
U 0.816 0.214 0.000
Mg 0.132 0.595 0.000
U 0.822 0.038 0.500
Mg 0.651 0.857 0.500
U 0.189 0.356 0.500
Mg 0.976 0.237 0.500
U 0.005 0.005 0.000
Mg 0.625 0.070 0.000
Mg 0.570 0.290 0.500
Mg 0.205 0.953 0.500
Mg 0.062 0.766 0.500
Mg 0.465 0.722 0.500